## A
Here is crystalline AcNpTe3 at its relaxed geometry from Alexandria via LeMat-Bulk. Energies are from PBE-GGA.

a b c (Å): 5.829 7.609 9.628
angles (deg): 113.28 90.00 90.00
Fractional coordinates of all 10 atoms:
Te1 0.000 0.859 0.718
Np1 0.500 0.116 0.231
Te2 0.000 0.141 0.282
Np2 0.500 0.884 0.769
Te3 0.500 0.282 0.000
Ac1 0.000 0.324 0.649
Te4 0.500 0.718 0.000
Ac2 0.000 0.676 0.351
Te5 0.500 0.500 0.500
Te6 0.500 0.000 0.500

Summary:
The density of states at the Fermi level is 11.68 states/eV/f.u.

***

## B
Here is crystalline AcNpTe3 at its relaxed geometry from Alexandria via LeMat-Bulk. Energies are from PBE-GGA.

a b c (Å): 4.625 8.506 17.605
angles (deg): 90.00 90.00 90.00
Fractional coordinates of all 20 atoms:
Np1 0.750 0.226 0.460
Te1 0.250 0.658 0.713
Ac1 0.250 0.133 0.199
Te2 0.750 0.623 0.442
Np2 0.250 0.774 0.540
Te3 0.250 0.877 0.942
Te4 0.750 0.342 0.287
Te5 0.250 0.508 0.104
Ac2 0.750 0.367 0.699
Ac3 0.250 0.633 0.301
Te6 0.250 0.008 0.396
Ac4 0.750 0.867 0.801
Te7 0.750 0.992 0.604
Te8 0.750 0.123 0.058
Np3 0.250 0.274 0.960
Te9 0.250 0.377 0.558
Np4 0.750 0.726 0.040
Te10 0.250 0.158 0.787
Te11 0.750 0.492 0.896
Te12 0.750 0.842 0.213

Summary:
The density of states at the Fermi level is 11.18 states/eV/f.u.

***

The winner here is B, beating the second structure by 0.358 eV/atom.

***

## A
Here is crystalline Ac2OsO8 at its relaxed geometry from Alexandria via LeMat-Bulk. Energies are from PBE-GGA.

a b c (Å): 4.641 7.551 7.551
angles (deg): 120.98 70.30 70.30
Fractional coordinates of all 11 atoms:
O1 0.391 0.938 0.737
O2 0.391 0.737 0.938
O3 0.881 0.403 0.828
O4 0.900 0.254 0.254
Os1 0.484 0.981 0.981
O5 0.881 0.828 0.403
O6 0.494 0.034 0.240
O7 0.494 0.240 0.034
Ac1 0.538 0.296 0.617
Ac2 0.538 0.617 0.296
O8 0.008 0.706 0.706

Summary:
The density of states at the Fermi level is 0.28 states/eV/f.u.

***

## B
Here is crystalline Ac2OsO8 at its relaxed geometry from Alexandria via LeMat-Bulk. Energies are from PBE-GGA.

a b c (Å): 3.846 5.119 8.386
angles (deg): 106.48 103.26 90.00
Fractional coordinates of all 11 atoms:
O1 0.764 0.747 0.528
Os1 0.500 0.000 0.000
O2 0.031 0.216 0.062
Ac1 0.170 0.669 0.340
O3 0.600 0.915 0.199
O4 0.400 0.085 0.801
O5 0.567 0.386 0.133
O6 0.236 0.253 0.472
O7 0.969 0.784 0.938
Ac2 0.830 0.331 0.660
O8 0.433 0.614 0.867

Summary:
The density of states at the Fermi level is 6.88 states/eV/f.u.

***

The winner here is A, beating the second structure by 0.198 eV/atom.

***

## A
Here is crystalline AcOsO4 at its relaxed geometry from Alexandria via LeMat-Bulk. Energies are from PBE-GGA.

a b c (Å): 5.554 5.379 5.625
angles (deg): 96.06 90.00 90.00
Fractional coordinates of all 12 atoms:
Ac1 0.500 0.000 0.500
Os1 0.500 0.500 0.000
O1 0.626 0.573 0.314
O2 0.874 0.073 0.314
O3 0.374 0.427 0.686
Os2 0.000 0.000 0.000
O4 0.223 0.737 0.125
O5 0.277 0.237 0.125
Ac2 0.000 0.500 0.500
O6 0.126 0.927 0.686
O7 0.777 0.263 0.875
O8 0.723 0.763 0.875

Summary:
The density of states at the Fermi level is 2.70 states/eV/f.u.

***

## B
Here is crystalline AcOsO4 at its relaxed geometry from Alexandria via LeMat-Bulk. Energies are from PBE-GGA.

a b c (Å): 3.826 3.826 12.441
angles (deg): 90.00 90.00 90.00
Fractional coordinates of all 12 atoms:
Os1 0.500 0.000 0.854
O1 0.000 0.500 0.301
O2 0.500 0.500 0.500
O3 0.000 0.000 0.500
O4 0.500 0.000 0.699
O5 0.500 0.500 0.865
Ac1 0.000 0.500 0.616
Ac2 0.500 0.000 0.384
Os2 0.000 0.500 0.146
O6 0.000 0.000 0.135
O7 0.000 0.000 0.865
O8 0.500 0.500 0.135

Summary:
The density of states at the Fermi level is 2.88 states/eV/f.u.

***

The winner here is A, beating the second structure by 0.080 eV/atom.

***

## A
Here is crystalline Ac2PO6 at its relaxed geometry from Alexandria via LeMat-Bulk. Energies are from PBE-GGA.

a b c (Å): 5.506 7.777 5.505
angles (deg): 90.00 90.00 90.01
Fractional coordinates of all 18 atoms:
O1 0.279 0.001 0.721
O2 0.002 0.721 0.000
O3 0.221 0.499 0.779
P1 0.000 0.500 0.000
O4 0.721 0.999 0.279
O5 0.721 0.999 0.721
O6 0.221 0.499 0.221
O7 0.502 0.221 0.500
Ac1 0.500 0.750 0.000
O8 0.779 0.501 0.779
O9 0.498 0.779 0.500
Ac2 0.500 0.250 0.000
O10 0.279 0.001 0.279
P2 0.500 0.000 0.500
Ac3 0.000 0.750 0.500
O11 0.998 0.279 0.000
O12 0.779 0.501 0.221
Ac4 0.000 0.250 0.500

Summary:
The density of states at the Fermi level is 5.81 states/eV/f.u.

***

## B
Here is crystalline Ac2PO6 at its relaxed geometry from Alexandria via LeMat-Bulk. Energies are from PBE-GGA.

a b c (Å): 4.527 5.348 5.348
angles (deg): 60.01 89.96 89.96
Fractional coordinates of all 9 atoms:
P1 0.000 0.000 0.000
O1 0.788 0.155 0.689
Ac1 0.730 0.667 0.667
O2 0.788 0.689 0.155
O3 0.787 0.155 0.155
O4 0.212 0.311 0.845
O5 0.213 0.845 0.845
O6 0.212 0.845 0.311
Ac2 0.270 0.333 0.333

Summary:
The density of states at the Fermi level is 5.22 states/eV/f.u.

***

The winner here is A, beating the second structure by 0.068 eV/atom.